K2MnCo3F12 PBE+U relaxed; volume = 15.57 A^3/atom; VASP energy = -89.0 eV/cell; symmetry = R-3m, No. 166
1.0
3.695 2.133 5.926
-3.695 2.133 5.926
0.000 -4.267 5.926
K Mn Co F
2 1 3 12
Cartesian
0.000 0.000 2.218 K
0.000 0.000 15.562 K
0.000 0.000 8.890 Mn
-1.847 -1.067 5.926 Co
-1.847 1.067 11.853 Co
0.000 2.133 5.926 Co
-1.617 -0.934 7.832 F
0.000 -1.699 5.629 F
-1.471 0.849 5.629 F
0.000 -1.867 9.948 F
-1.617 0.934 9.948 F
-1.471 -0.849 12.150 F
1.471 0.849 5.629 F
1.617 -0.934 7.832 F
0.000 1.867 7.832 F
1.471 -0.849 12.150 F
0.000 1.699 12.150 F
1.617 0.934 9.948 F